# PBE-GGA SmY2Ho3Se6, relaxed
# Electronic total energy   -0.4492 Ry per atom
# ΔE_f (raw)   -1754 meV/atom
# Symmetry   C2/m (12)
data_SmY2Ho3Se6
_symmetry_space_group_name_H-M 'P 1'
_symmetry_Int_Tables_number 1
_cell_length_a 7.072
_cell_length_b 7.072
_cell_length_c 7.101
_cell_angle_alpha 99.52
_cell_angle_beta 99.52
_cell_angle_gamma 120.31
loop_
_symmetry_equiv_pos_as_xyz
'x,y,z'
loop_
_atom_site_label
_atom_site_type_symbol
_atom_site_fract_x
_atom_site_fract_y
_atom_site_fract_z
Sm1 Sm 0.000 0.000 0.000
Y1 Y 0.334 0.666 0.000
Y2 Y 0.666 0.334 0.000
Ho1 Ho 0.163 0.837 0.500
Ho2 Ho 0.500 0.500 0.500
Ho3 Ho 0.837 0.163 0.500
Se1 Se 0.085 0.424 0.257
Se2 Se 0.254 0.254 0.746
Se3 Se 0.424 0.085 0.257
Se4 Se 0.576 0.915 0.743
Se5 Se 0.746 0.746 0.254
Se6 Se 0.915 0.576 0.743